Material: Sc3ZnGa
Method: DFT, PBE
State: optimized geometry

Cell: 7.406 7.406 4.594 Å, 90.00 90.00 120.00°
Fractional positions:
1 Sc 0.195 0.391 0.250
2 Sc 0.195 0.805 0.250
3 Sc 0.391 0.195 0.750
4 Sc 0.609 0.805 0.250
5 Sc 0.805 0.195 0.750
6 Sc 0.805 0.609 0.750
7 Zn 0.000 0.000 0.000
8 Zn 0.000 0.000 0.500
9 Ga 0.333 0.667 0.750
10 Ga 0.667 0.333 0.250

Calculated values
As for the space group: P6_3/mmc. The calculated formation energy comes out at -186 meV per atom. Its final energy is -4.845 eV/atom. The volume comes out at 21.82 Å³/atom. Its density of states at the Fermi level is 0.41 states/eV per atom. The total magnetization comes out at 0.0 μB per formula unit. Its relative energy among the computed polymorphs is 214.6 meV/atom.